CoHRh3 | GGA-PBE | optimized geometry

Cell lengths 5.1851, 5.1851, 8.5952 Å; angles 103.64, 103.64, 30.62 degrees
Sites, in units of the cell vectors:
Co 0.0362 0.0362 0.3813
Co 0.9638 0.9638 0.6187
H 0.2315 0.2315 0.1537
H 0.7685 0.7685 0.8463
Rh 0.1438 0.1438 0.8837
Rh 0.3051 0.3051 0.3899
Rh 0.4073 0.4073 0.8488
Rh 0.5927 0.5927 0.1512
Rh 0.6949 0.6949 0.6101
Rh 0.8562 0.8562 0.1163

## Properties
energy = -6.431 eV per atom